Entry 1:
Compound: Tb8PtAu2
Source: the Alexandria database
Functional: PBE-GGA
Structure: relaxed

Structure (POSCAR):
```
Tb8PtAu2
1.0
-2.268 4.563 0.097
-5.997 -2.952 -1.358
1.313 -2.381 8.794
Tb Au Pt
8 2 1
direct
0.029 0.778 0.059 Tb
0.795 0.673 0.589 Tb
0.412 0.558 0.823 Tb
0.205 0.327 0.411 Tb
0.971 0.222 0.941 Tb
0.588 0.442 0.177 Tb
0.661 0.971 0.321 Tb
0.339 0.029 0.679 Tb
0.809 0.261 0.618 Au
0.191 0.739 0.382 Au
0.500 0.000 0.000 Pt
```

Computed properties:
E_tot	-5.058	eV/atom
total magnetization	0.00	μB per formula unit
ρ	10.28	g cm⁻³


Entry 2:
Compound: Hf2Al2Ga
Source: the Alexandria database
Functional: PBE-GGA
Structure: relaxed

Structure (POSCAR):
```
Hf2Al2Ga
1.0
-6.408 -0.670 1.763
0.947 -6.543 0.955
1.011 0.723 3.951
Ga Al Hf
2 4 4
direct
0.500 0.500 0.000 Ga
0.000 0.000 0.000 Ga
0.368 0.868 0.000 Al
0.132 0.368 0.000 Al
0.632 0.132 0.000 Al
0.868 0.632 0.000 Al
0.329 0.171 0.500 Hf
0.829 0.329 0.500 Hf
0.671 0.829 0.500 Hf
0.171 0.671 0.500 Hf
```

Computed properties:
ΔE to the lowest computed polymorph	0.0000	eV per atom
total magnetization	0.00	μB per formula unit
ρ	8.64	g cm⁻³